1.
Y2AgHg | PBE-GGA | relaxed

Cell: 6.965 6.965 6.965 Å, 56.55 152.38 131.70°
Fractional positions:
Y (0.000, 0.242, 0.242)
Y (0.000, 0.758, 0.758)
Ag (0.000, 0.000, 0.000)
Hg (0.000, 0.500, 0.500)

Calculated values
- SG: Immm, No. 71

---

2.
Y3Ag2Hg2 | PBE-GGA | relaxed

Cell: 5.679 4.918 8.015 Å, 107.89 105.02 115.55°
Fractional positions:
Y (0.000, 0.000, 0.000)
Y (0.461, 0.092, 0.725)
Y (0.539, 0.908, 0.275)
Ag (0.202, 0.317, 0.432)
Ag (0.798, 0.683, 0.568)
Hg (0.865, 0.533, 0.200)
Hg (0.135, 0.467, 0.800)

Calculated values
- SG: P-1, No. 2

---

3.
YAg2Hg4 | PBE-GGA | relaxed

Cell: 4.884 4.884 7.043 Å, 90.00 90.00 90.00°
Fractional positions:
Y (0.500, 0.500, 0.000)
Ag (0.000, 0.000, 0.000)
Ag (0.500, 0.500, 0.500)
Hg (0.500, 0.000, 0.275)
Hg (0.000, 0.500, 0.725)
Hg (0.500, 0.000, 0.725)
Hg (0.000, 0.500, 0.275)

Calculated values
- SG: P4/mmm, No. 123

---

| no. | VASP energy (eV/atom) |
| --- | --- |
| 1 | -3.61 |
| 2 | -4.01 |
| 3 | -2.08 |